Density functional theory data (PBE) for crystalline B7C5 at its relaxed geometry.

Formation enthalpy at 0 K = 390.9 meV/atom
Total DFT energy (no corrections) = -7.35 eV/atom
Theoretical density = 2.73 Mg/m³
Space group = No. 8

POSCAR file:
```
B7C5
1.0
-4.6861 1.9989 3.7847
-4.2700 -0.4887 4.6699
4.6766 1.4943 2.0012
C B
5 7
Direct
0.5742 0.5742 0.5373
0.3580 0.3580 0.1018
0.6625 0.6625 0.8274
0.5895 0.5895 0.0084
0.0025 0.0025 0.5219
0.6476 0.6476 0.3303
0.0122 0.0122 0.8795
0.8816 0.8816 0.6076
0.2392 0.2392 0.8577
0.8942 0.8942 0.2458
0.3713 0.3713 0.8100
0.2675 0.2675 0.5223
```